First-principles (PBE with a Hubbard U) data for crystalline CsRb2Mo3F12 at its relaxed geometry, as listed in the Alexandria database.

The electronic total energy is -284.59 eV/cell.

The space group is R-3m (No. 166, hexagonal axes) and the conventional cell measures 8.0092, 8.0092 and 19.8156 Å, with angles of 90.00, 90.00 and 120.00 degrees. Symmetry generates all atoms from Cs at (0.0000, 0.0000, 0.0000), Rb at (0.0000, 0.0000, 0.3665), Mo at (0.0000, 0.5000, 0.5000), F at (0.0556, 0.5278, 0.3977) and F at (0.0768, 0.5384, 0.8144).